No. 1
## BeVSn2Se (GGA-PBE)

Data for a geometry-optimized BeVSn2Se structure.

Cell lengths 5.2551, 4.4605, 5.2551 Å; angles 90.00, 90.00, 90.00 degrees
Element x y z (fractional)
1 Be 0.0000 0.5000 0.0000
2 Sn 0.0000 0.0000 0.5000
3 Sn 0.5000 0.0000 0.0000
4 Se 0.5000 0.5000 0.5000
5 V 0.0000 0.0000 0.0000

Calculated values
As for the symmetry: P4/mmm. The value obtained for the uncorrected formation energy is 0.7569 eV per atom.

=====

No. 2
## TlTc3 (GGA-PBE)

Data for a geometry-optimized TlTc3 structure.

Cell lengths 5.6837, 5.6837, 4.5878 Å; angles 90.00, 90.00, 117.53 degrees
Element x y z (fractional)
1 Tl 0.6403 0.3597 0.7500
2 Tl 0.3597 0.6403 0.2500
3 Tc 0.1791 0.8209 0.7500
4 Tc 0.8209 0.1791 0.2500
5 Tc 0.6952 0.8824 0.7500
6 Tc 0.3048 0.1176 0.2500
7 Tc 0.8824 0.6952 0.2500
8 Tc 0.1176 0.3048 0.7500

Calculated values
As for the symmetry: Cmcm. The calculation puts the formation energy from the elements at 0.558 eV per atom.

=====

No. 3
## KBa2Ga2 (GGA-PBE)

Data for a geometry-optimized KBa2Ga2 structure.

Cell lengths 9.8785, 9.8785, 3.8945 Å; angles 90.00, 90.00, 90.00 degrees
Element x y z (fractional)
1 K 0.0000 0.0000 0.0000
2 K 0.5000 0.5000 0.0000
3 Ba 0.3543 0.8543 0.0000
4 Ba 0.8543 0.6457 0.0000
5 Ba 0.6457 0.1457 0.0000
6 Ba 0.1457 0.3543 0.0000
7 Ga 0.1475 0.6475 0.5000
8 Ga 0.6475 0.8525 0.5000
9 Ga 0.8525 0.3525 0.5000
10 Ga 0.3525 0.1475 0.5000

Calculated values
As for the symmetry: P4/mbm. The calculation puts the formation energy from the elements at -0.119 eV per atom.

=====

No. 4
## Y2SiSe (GGA-PBE)

Data for a geometry-optimized Y2SiSe structure.

Cell lengths 5.0686, 5.0686, 5.0686 Å; angles 60.00, 60.00, 60.00 degrees
Element x y z (fractional)
1 Y 0.2500 0.2500 0.2500
2 Y 0.7500 0.7500 0.7500
3 Si 0.0000 0.0000 0.0000
4 Se 0.5000 0.5000 0.5000

Calculated values
As for the symmetry: Fm-3m. The value obtained for the uncorrected formation energy is -0.8904 eV per atom.

=====

No. 5
## KLaCu4 (GGA-PBE)

Data for a geometry-optimized KLaCu4 structure.

Cell lengths 5.4530, 5.4530, 5.4530 Å; angles 60.00, 60.00, 60.00 degrees
Element x y z (fractional)
1 K 0.7500 0.7500 0.7500
2 La 0.0000 0.0000 0.0000
3 Cu 0.8697 0.3768 0.3768
4 Cu 0.3768 0.3768 0.8697
5 Cu 0.3768 0.8697 0.3768
6 Cu 0.3768 0.3768 0.3768

Calculated values
As for the symmetry: F-43m. The calculation puts the formation energy from the elements at 0.199 eV per atom.

=====

No. 6
## LiLa3Pa2N6 (GGA-PBE)

Data for a geometry-optimized LiLa3Pa2N6 structure.

Cell lengths 3.6534, 7.3098, 7.8815 Å; angles 105.17, 103.40, 90.00 degrees
Element x y z (fractional)
1 Li 0.5000 0.0000 0.0000
2 La 0.5000 0.5000 0.0000
3 La 0.8403 0.1581 0.6806
4 La 0.1597 0.8419 0.3194
5 Pa 0.8368 0.6792 0.6736
6 Pa 0.1632 0.3208 0.3264
7 N 0.3320 0.8887 0.6640
8 N 0.6776 0.5567 0.3552
9 N 0.6680 0.1113 0.3360
10 N 0.0174 0.2739 0.0348
11 N 0.9826 0.7261 0.9652
12 N 0.3224 0.4433 0.6448

Calculated values
As for the symmetry: C2/m. The value obtained for the uncorrected formation energy is -1.3458 eV per atom.